## CaMnW2 (PBEsol)

Data for a geometry-optimized CaMnW2 structure.

Computed properties:
Formation energy from the elements: 0.832 eV per atom
Distance to the lowest polymorph of the same formula: 125.4 meV/atom

Cell lengths 6.436, 6.436, 6.436 Å; angles 90.00, 90.00, 90.00 degrees
Space group F-43m (No. 216)
Asymmetric unit:
Ca  0.000  0.000  0.000 [4 per cell]
Mn  0.250  0.250  0.250 [4 per cell]
W  0.000  0.000  0.500 [4 per cell]
W  0.250  0.250  0.750 [4 per cell]

## CaMnW2 (PBEsol)

Data for a geometry-optimized CaMnW2 structure.

Computed properties:
Formation energy from the elements: 0.884 eV per atom
Distance to the lowest polymorph of the same formula: 176.9 meV/atom

Cell lengths 2.989, 4.814, 9.060 Å; angles 90.00, 90.00, 90.00 degrees
Space group Imm2 (No. 44)
Asymmetric unit:
Ca  0.000  0.000  0.000 [2 per cell]
Mn  0.000  0.500  0.240 [2 per cell]
W  0.000  0.000  0.538 [2 per cell]
W  0.000  0.500  0.781 [2 per cell]

Question: What is the formula in the first record?
Answer: CaMnW2